Entry 1:
An optimized crystal structure of TcS2N2. Source: Alexandria, functional PBE.

abc: 4.732 4.732 3.738
angles: 90.00 90.00 90.00
Fractional coordinates of all 5 atoms:
1 Tc 0.000 0.000 0.000
2 S 0.000 0.500 0.000
3 S 0.500 0.000 0.000
4 N 0.000 0.000 0.500
5 N 0.500 0.500 0.500

## Properties
**Distance to the lowest polymorph of the same formula**: 588.1 meV/atom

***

Entry 2:
An optimized crystal structure of TcTeS2N. Source: Alexandria, functional PBE.

abc: 4.849 4.849 3.752
angles: 90.00 90.00 90.00
Fractional coordinates of all 5 atoms:
1 Tc 0.000 0.000 0.000
2 Te 0.500 0.500 0.500
3 S 0.000 0.500 0.000
4 S 0.500 0.000 0.000
5 N 0.000 0.000 0.500

## Properties
**Distance to the lowest polymorph of the same formula**: 0.0 meV/atom

***

Entry 3:
An optimized crystal structure of TcTeS2N. Source: Alexandria, functional PBE.

abc: 4.192 4.192 4.378
angles: 90.00 90.00 90.00
Fractional coordinates of all 5 atoms:
1 Tc 0.000 0.000 0.000
2 Te 0.500 0.500 0.000
3 S 0.000 0.500 0.500
4 S 0.500 0.000 0.500
5 N 0.500 0.500 0.500

## Properties
**Distance to the lowest polymorph of the same formula**: 867.4 meV/atom

***

Computed DFT total energy, in the same sequence as the records: -5.608; -5.676; -4.808 eV/atom.
Computed N(E_F), in the same sequence as the records: 0.765; 0.563; 0.775 states/eV/atom.
Computed energy relative to the elements, uncorrected, in the same sequence as the records: 1446; 342; 1209 meV per atom.